<A>
# MnSb3

MnSb3 after structural relaxation (GGA-PBE, Alexandria via LeMat-Bulk).

a = 8.480 Å, b = 12.174 Å, c = 4.014 Å
α = 90.00°, β = 90.00°, γ = 90.00°
Space group Cmcm (No. 63)
Unique sites:
Mn: 0.000 0.024 0.250 x4
Sb: 0.000 0.407 0.250 x4
Sb: 0.230 0.151 0.250 x8

- Calculated volume: 414 Å³ per cell
- Mass density: 6.74 Mg/m³

<B>
# MnSb3

MnSb3 after structural relaxation (GGA-PBE, Alexandria via LeMat-Bulk).

a = 5.085 Å, b = 5.085 Å, c = 5.085 Å
α = 90.00°, β = 90.00°, γ = 90.00°
Space group Pm-3m (No. 221)
Unique sites:
Mn: 0.000 0.000 0.000 x1
Sb: 0.000 0.000 0.500 x3

- Calculated volume: 132 Å³ per cell
- Mass density: 5.31 Mg/m³

<C>
# MnSb3

MnSb3 after structural relaxation (GGA-PBE, Alexandria via LeMat-Bulk).

a = 5.824 Å, b = 5.824 Å, c = 5.824 Å
α = 90.00°, β = 90.00°, γ = 90.00°
Space group Pm-3n (No. 223)
Unique sites:
Mn: 0.000 0.000 0.000 x2
Sb: 0.000 0.250 0.500 x6

- Calculated volume: 198 Å³ per cell
- Mass density: 7.07 Mg/m³

<D>
# MnSb3

MnSb3 after structural relaxation (GGA-PBE, Alexandria via LeMat-Bulk).

a = 4.366 Å, b = 4.366 Å, c = 21.428 Å
α = 90.00°, β = 90.00°, γ = 90.00°
Space group I4/mmm (No. 139)
Unique sites:
Mn: 0.000 0.000 0.159 x4
Sb: 0.000 0.000 0.384 x4
Sb: 0.000 0.500 0.000 x4
Sb: 0.000 0.500 0.250 x4

- Calculated volume: 408 Å³ per cell
- Mass density: 6.83 Mg/m³

Winner for stability: <D>

<A>
# ScMnSb2Te

ScMnSb2Te after structural relaxation (GGA-PBE, Alexandria via LeMat-Bulk).

a = 4.783 Å, b = 4.783 Å, c = 5.734 Å
α = 90.00°, β = 90.00°, γ = 90.00°
Space group P4/mmm (No. 123)
Unique sites:
Sc: 0.000 0.000 0.000 x1
Mn: 0.500 0.500 0.500 x1
Sb: 0.000 0.500 0.500 x2
Te: 0.500 0.500 0.000 x1

- Calculated volume: 131 Å³ per cell
- Mass density: 5.96 Mg/m³

<B>
# ScMnSb2Te

ScMnSb2Te after structural relaxation (GGA-PBE, Alexandria via LeMat-Bulk).

a = 5.842 Å, b = 5.842 Å, c = 5.894 Å
α = 90.00°, β = 90.00°, γ = 90.00°
Space group P4/mmm (No. 123)
Unique sites:
Sc: 0.000 0.000 0.000 x1
Mn: 0.500 0.500 0.500 x1
Sb: 0.000 0.500 0.000 x2
Te: 0.000 0.000 0.500 x1

- Calculated volume: 201 Å³ per cell
- Mass density: 3.89 Mg/m³

Winner for stability: <A>

<A>
# MnSb3Se

MnSb3Se after structural relaxation (GGA-PBE, Alexandria via LeMat-Bulk).

a = 4.952 Å, b = 4.952 Å, c = 4.952 Å
α = 90.00°, β = 90.00°, γ = 90.00°
Space group Pm-3m (No. 221)
Unique sites:
Mn: 0.000 0.000 0.000 x1
Sb: 0.000 0.000 0.500 x3
Se: 0.500 0.500 0.500 x1

- Calculated volume: 121 Å³ per cell
- Mass density: 6.83 Mg/m³

<B>
# MnSb3Se

MnSb3Se after structural relaxation (GGA-PBE, Alexandria via LeMat-Bulk).

a = 5.330 Å, b = 5.330 Å, c = 5.330 Å
α = 90.00°, β = 90.00°, γ = 90.00°
Space group Pm-3m (No. 221)
Unique sites:
Mn: 0.000 0.000 0.000 x1
Sb: 0.000 0.500 0.500 x3
Se: 0.500 0.500 0.500 x1

- Calculated volume: 151 Å³ per cell
- Mass density: 5.47 Mg/m³

Winner for stability: <A>

<A>
# MnSb2TeSe

MnSb2TeSe after structural relaxation (GGA-PBE, Alexandria via LeMat-Bulk).

a = 5.032 Å, b = 5.032 Å, c = 4.975 Å
α = 90.00°, β = 90.00°, γ = 90.00°
Space group P4/mmm (No. 123)
Unique sites:
Mn: 0.000 0.000 0.000 x1
Sb: 0.000 0.500 0.000 x2
Te: 0.000 0.000 0.500 x1
Se: 0.500 0.500 0.500 x1

- Calculated volume: 126 Å³ per cell
- Mass density: 6.66 Mg/m³

<B>
# MnSb2TeSe

MnSb2TeSe after structural relaxation (GGA-PBE, Alexandria via LeMat-Bulk).

a = 5.373 Å, b = 5.373 Å, c = 5.336 Å
α = 90.00°, β = 90.00°, γ = 90.00°
Space group P4/mmm (No. 123)
Unique sites:
Mn: 0.000 0.000 0.000 x1
Sb: 0.000 0.500 0.500 x2
Te: 0.500 0.500 0.000 x1
Se: 0.500 0.500 0.500 x1

- Calculated volume: 154 Å³ per cell
- Mass density: 5.45 Mg/m³

Winner for stability: <A>

<A>
# MnSbTe2Se

MnSbTe2Se after structural relaxation (GGA-PBE, Alexandria via LeMat-Bulk).

a = 4.944 Å, b = 4.944 Å, c = 5.115 Å
α = 90.00°, β = 90.00°, γ = 90.00°
Space group P4/mmm (No. 123)
Unique sites:
Mn: 0.000 0.000 0.000 x1
Sb: 0.000 0.000 0.500 x1
Te: 0.000 0.500 0.000 x2
Se: 0.500 0.500 0.500 x1

- Calculated volume: 125 Å³ per cell
- Mass density: 6.78 Mg/m³

<B>
# MnSbTe2Se

MnSbTe2Se after structural relaxation (GGA-PBE, Alexandria via LeMat-Bulk).

a = 5.300 Å, b = 5.300 Å, c = 5.322 Å
α = 90.00°, β = 90.00°, γ = 90.00°
Space group P4/mmm (No. 123)
Unique sites:
Mn: 0.000 0.000 0.000 x1
Sb: 0.500 0.500 0.000 x1
Te: 0.000 0.500 0.500 x2
Se: 0.500 0.500 0.500 x1

- Calculated volume: 150 Å³ per cell
- Mass density: 5.67 Mg/m³

Winner for stability: <A>

<A>
# Mn2SiSb

Mn2SiSb after structural relaxation (GGA-PBE, Alexandria via LeMat-Bulk).

a = 2.923 Å, b = 3.023 Å, c = 7.239 Å
α = 90.00°, β = 90.00°, γ = 90.00°
Space group Pmmm (No. 47)
Unique sites:
Mn: 0.000 0.000 0.177 x2
Si: 0.500 0.500 0.000 x1
Sb: 0.500 0.000 0.500 x1

- Calculated volume: 64 Å³ per cell
- Mass density: 6.74 Mg/m³

<B>
# Mn2SiSb

Mn2SiSb after structural relaxation (GGA-PBE, Alexandria via LeMat-Bulk).

a = 2.900 Å, b = 2.900 Å, c = 7.489 Å
α = 90.00°, β = 90.00°, γ = 90.00°
Space group P4mm (No. 99)
Unique sites:
Mn: 0.000 0.000 0.000 x1
Mn: 0.500 0.500 0.182 x1
Si: 0.500 0.500 0.818 x1
Sb: 0.000 0.000 0.447 x1

- Calculated volume: 63 Å³ per cell
- Mass density: 6.85 Mg/m³

Winner for stability: <A>

<A>
# Mn2SiSb

Mn2SiSb after structural relaxation (GGA-PBE, Alexandria via LeMat-Bulk).

a = 3.0841 Å, b = 3.0841 Å, c = 23.6324 Å
α = 90.00°, β = 90.00°, γ = 120.00°
Space group R3m (No. 160, hexagonal axes)
Unique sites:
Mn: 0.0000 0.0000 0.0000 x3
Mn: 0.0000 0.0000 0.2561 x3
Si: 0.0000 0.0000 0.5246 x3
Sb: 0.0000 0.0000 0.7561 x3

- Calculated volume: 195 Å³ per cell
- Mass density: 6.65 Mg/m³

<B>
# Mn2SiSb

Mn2SiSb after structural relaxation (GGA-PBE, Alexandria via LeMat-Bulk).

a = 4.213 Å, b = 4.213 Å, c = 3.032 Å
α = 90.00°, β = 90.00°, γ = 90.00°
Space group P4/mmm (No. 123)
Unique sites:
Mn: 0.000 0.500 0.000 x2
Si: 0.000 0.000 0.500 x1
Sb: 0.500 0.500 0.500 x1

- Calculated volume: 54 Å³ per cell
- Mass density: 8.02 Mg/m³

Winner for stability: <B>

<A>
# Mn2SiSb

Mn2SiSb after structural relaxation (GGA-PBE, Alexandria via LeMat-Bulk).

a = 8.874 Å, b = 3.198 Å, c = 4.249 Å
α = 90.00°, β = 103.45°, γ = 90.00°
Space group Cm (No. 8)
Unique sites:
Mn: 0.000 0.000 0.000 x2
Mn: 0.206 0.000 0.604 x2
Si: 0.491 0.000 0.523 x2
Sb: 0.237 0.500 0.131 x2

- Calculated volume: 117 Å³ per cell
- Mass density: 7.35 Mg/m³

<B>
# Mn2SiSb

Mn2SiSb after structural relaxation (GGA-PBE, Alexandria via LeMat-Bulk).

a = 3.977 Å, b = 3.977 Å, c = 16.866 Å
α = 90.00°, β = 90.00°, γ = 90.00°
Space group I-42d (No. 122)
Unique sites:
Mn: 0.213 0.250 0.125 x8
Si: 0.000 0.000 0.000 x4
Sb: 0.000 0.000 0.500 x4

- Calculated volume: 267 Å³ per cell
- Mass density: 6.47 Mg/m³

<C>
# Mn2SiSb

Mn2SiSb after structural relaxation (GGA-PBE, Alexandria via LeMat-Bulk).

a = 4.292 Å, b = 3.220 Å, c = 4.746 Å
α = 90.00°, β = 111.66°, γ = 90.00°
Space group P2/m (No. 10)
Unique sites:
Mn: 0.000 0.000 0.000 x1
Mn: 0.000 0.500 0.500 x1
Si: 0.500 0.000 0.500 x1
Sb: 0.500 0.500 0.000 x1

- Calculated volume: 61 Å³ per cell
- Mass density: 7.08 Mg/m³

Winner for stability: <A>

<A>
# Mn2SiSb

Mn2SiSb after structural relaxation (GGA-PBE, Alexandria via LeMat-Bulk).

a = 3.825 Å, b = 3.825 Å, c = 8.502 Å
α = 90.00°, β = 90.00°, γ = 90.00°
Space group I-4m2 (No. 119)
Unique sites:
Mn: 0.000 0.000 0.000 x2
Mn: 0.000 0.500 0.250 x2
Si: 0.000 0.000 0.500 x2
Sb: 0.000 0.500 0.750 x2

- Calculated volume: 124 Å³ per cell
- Mass density: 6.93 Mg/m³

<B>
# Mn2SiSb

Mn2SiSb after structural relaxation (GGA-PBE, Alexandria via LeMat-Bulk).

a = 5.984 Å, b = 5.984 Å, c = 5.984 Å
α = 90.00°, β = 90.00°, γ = 90.00°
Space group Fm-3m (No. 225)
Unique sites:
Mn: 0.250 0.250 0.250 x8
Si: 0.000 0.000 0.000 x4
Sb: 0.000 0.000 0.500 x4

- Calculated volume: 214 Å³ per cell
- Mass density: 8.05 Mg/m³

<C>
# Mn2SiSb

Mn2SiSb after structural relaxation (GGA-PBE, Alexandria via LeMat-Bulk).

a = 3.735 Å, b = 2.947 Å, c = 12.073 Å
α = 90.00°, β = 90.00°, γ = 90.00°
Space group Amm2 (No. 38)
Unique sites:
Mn: 0.000 0.000 0.000 x2
Mn: 0.500 0.000 0.167 x2
Si: 0.500 0.000 0.507 x2
Sb: 0.000 0.000 0.778 x2

- Calculated volume: 133 Å³ per cell
- Mass density: 6.49 Mg/m³

<D>
# Mn2SiSb

Mn2SiSb after structural relaxation (GGA-PBE, Alexandria via LeMat-Bulk).

a = 3.6165 Å, b = 3.6165 Å, c = 17.8913 Å
α = 90.00°, β = 90.00°, γ = 120.00°
Space group R-3m (No. 166, hexagonal axes)
Unique sites:
Mn: 0.0000 0.0000 0.2284 x6
Si: 0.0000 0.0000 0.5000 x3
Sb: 0.0000 0.0000 0.0000 x3

- Calculated volume: 203 Å³ per cell
- Mass density: 6.38 Mg/m³

Winner for stability: <C>

<A>
# Mn2SiSb

Mn2SiSb after structural relaxation (GGA-PBE, Alexandria via LeMat-Bulk).

a = 6.216 Å, b = 6.216 Å, c = 6.216 Å
α = 90.00°, β = 90.00°, γ = 90.00°
Space group F-43m (No. 216)
Unique sites:
Mn: 0.000 0.000 0.000 x4
Mn: 0.250 0.250 0.250 x4
Si: 0.000 0.000 0.500 x4
Sb: 0.250 0.250 0.750 x4

- Calculated volume: 240 Å³ per cell
- Mass density: 7.18 Mg/m³

<B>
# Mn2SiSb

Mn2SiSb after structural relaxation (GGA-PBE, Alexandria via LeMat-Bulk).

a = 2.998 Å, b = 3.576 Å, c = 11.778 Å
α = 90.00°, β = 90.00°, γ = 90.00°
Space group Imm2 (No. 44)
Unique sites:
Mn: 0.000 0.000 0.000 x2
Mn: 0.000 0.500 0.311 x2
Si: 0.000 0.000 0.447 x2
Sb: 0.000 0.500 0.691 x2

- Calculated volume: 126 Å³ per cell
- Mass density: 6.83 Mg/m³

Winner for stability: <B>

<A>
# MnSiSb

MnSiSb after structural relaxation (GGA-PBE, Alexandria via LeMat-Bulk).

a = 3.1877 Å, b = 3.1877 Å, c = 5.8100 Å
α = 90.00°, β = 90.00°, γ = 120.00°
Space group P3m1 (No. 156)
Unique sites:
Mn: 0.0000 0.0000 0.0000 x1
Si: 0.6667 0.3333 0.7391 x1
Sb: 0.3333 0.6667 0.3314 x1

- Calculated volume: 51 Å³ per cell
- Mass density: 6.65 Mg/m³

<B>
# MnSiSb

MnSiSb after structural relaxation (GGA-PBE, Alexandria via LeMat-Bulk).

a = 6.012 Å, b = 6.012 Å, c = 6.012 Å
α = 90.00°, β = 90.00°, γ = 90.00°
Space group F-43m (No. 216)
Unique sites:
Mn: 0.000 0.000 0.000 x4
Si: 0.250 0.250 0.750 x4
Sb: 0.250 0.250 0.250 x4

- Calculated volume: 217 Å³ per cell
- Mass density: 6.26 Mg/m³

Winner for stability: <B>

<A>
# MnSiSb

MnSiSb after structural relaxation (GGA-PBE, Alexandria via LeMat-Bulk).

a = 4.0988 Å, b = 4.0988 Å, c = 3.7752 Å
α = 90.00°, β = 90.00°, γ = 120.00°
Space group P-6m2 (No. 187)
Unique sites:
Mn: 0.0000 0.0000 0.0000 x1
Si: 0.3333 0.6667 0.0000 x1
Sb: 0.6667 0.3333 0.5000 x1

- Calculated volume: 55 Å³ per cell
- Mass density: 6.19 Mg/m³

<B>
# MnSiSb

MnSiSb after structural relaxation (GGA-PBE, Alexandria via LeMat-Bulk).

a = 3.314 Å, b = 3.314 Å, c = 9.496 Å
α = 90.00°, β = 90.00°, γ = 90.00°
Space group I4mm (No. 107)
Unique sites:
Mn: 0.000 0.000 0.000 x2
Si: 0.000 0.000 0.600 x2
Sb: 0.000 0.000 0.305 x2

- Calculated volume: 104 Å³ per cell
- Mass density: 6.52 Mg/m³

Winner for stability: <B>